(1)
{"formula": "BaGePbO4", "functional": "PBE", "state": "relaxed", "space_group": "P2_12_12_1, No. 19", "magmom_total_mub_per_fu": 0.00, "formation_energy_uncorrected_ev_per_atom": -1.9521, "de_polymorph_mev_per_atom": 0.0, "dos_ef_per_ev_cell": 0.00, "lattice_angstrom": [[6.3177, 0.0000, 0.0000], [0.0000, 7.8304, 0.0000], [0.0000, 0.0000, 10.3387]], "species": ["Ba", "Ba", "Ba", "Ba", "Ge", "Ge", "Ge", "Ge", "Pb", "Pb", "Pb", "Pb", "O", "O", "O", "O", "O", "O", "O", "O", "O", "O", "O", "O", "O", "O", "O", "O"], "frac_coords": [[0.0197, 0.2489, 0.2869], [0.4803, 0.7511, 0.7869], [0.5197, 0.2511, 0.7131], [0.9803, 0.7489, 0.2131], [0.0208, 0.5416, 0.9091], [0.4792, 0.4584, 0.4091], [0.5208, 0.9584, 0.0909], [0.9792, 0.0416, 0.5909], [0.0700, 0.0448, 0.9097], [0.4300, 0.9552, 0.4097], [0.5700, 0.4552, 0.0903], [0.9300, 0.5448, 0.5903], [0.0620, 0.9500, 0.4404], [0.0901, 0.7591, 0.9460], [0.2000, 0.0176, 0.6992], [0.2448, 0.4549, 0.8324], [0.2552, 0.5451, 0.3324], [0.3000, 0.9824, 0.1992], [0.4099, 0.2409, 0.4460], [0.4380, 0.0500, 0.9404], [0.5620, 0.5500, 0.5596], [0.5901, 0.7409, 0.0540], [0.7000, 0.4824, 0.3008], [0.7448, 0.0451, 0.1676], [0.7552, 0.9549, 0.6676], [0.8000, 0.5176, 0.8008], [0.9099, 0.2591, 0.5540], [0.9380, 0.4500, 0.0596]]}

---

(2)
{"formula": "BaGePbO4", "functional": "PBE", "state": "relaxed", "space_group": "P2_1/m, No. 11", "magmom_total_mub_per_fu": 0.00, "formation_energy_uncorrected_ev_per_atom": -1.9325, "de_polymorph_mev_per_atom": 19.5, "dos_ef_per_ev_cell": 0.00, "lattice_angstrom": [[6.3780, 0.0000, 0.0000], [0.0000, 5.9978, 0.0000], [-3.0940, 0.0000, 6.9210]], "species": ["Ba", "Ba", "Ge", "Ge", "Pb", "Pb", "O", "O", "O", "O", "O", "O", "O", "O"], "frac_coords": [[0.2087, 0.2500, 0.4592], [0.7913, 0.7500, 0.5408], [0.2200, 0.7500, 0.2023], [0.7800, 0.2500, 0.7977], [0.3185, 0.2500, 0.0252], [0.6815, 0.7500, 0.9748], [0.0334, 0.7500, 0.9517], [0.0539, 0.7500, 0.3424], [0.4118, 0.5157, 0.2680], [0.4118, 0.9843, 0.2680], [0.5882, 0.0157, 0.7320], [0.5882, 0.4843, 0.7320], [0.9461, 0.2500, 0.6576], [0.9666, 0.2500, 0.0483]]}

---

(3)
{"formula": "Ba2GePbO6", "functional": "PBE", "state": "relaxed", "space_group": "Fm-3m, No. 225", "magmom_total_mub_per_fu": 0.00, "formation_energy_uncorrected_ev_per_atom": -1.8794, "dos_ef_per_ev_cell": 2.22, "lattice_angstrom": [[0.0000, 4.1593, 4.1593], [4.1593, 0.0000, 4.1593], [4.1593, 4.1593, 0.0000]], "species": ["Ba", "Ba", "Ge", "Pb", "O", "O", "O", "O", "O", "O"], "frac_coords": [[0.2500, 0.2500, 0.2500], [0.7500, 0.7500, 0.7500], [0.0000, 0.0000, 0.0000], [0.5000, 0.5000, 0.5000], [0.2346, 0.2346, 0.7654], [0.2346, 0.7654, 0.2346], [0.2346, 0.7654, 0.7654], [0.7654, 0.2346, 0.2346], [0.7654, 0.2346, 0.7654], [0.7654, 0.7654, 0.2346]]}

---

(4)
{"formula": "Ba3Ge2PbO8", "functional": "PBE", "state": "relaxed", "space_group": "P-3m1, No. 164", "magmom_total_mub_per_fu": 0.00, "formation_energy_uncorrected_ev_per_atom": -2.1445, "dos_ef_per_ev_cell": 0.00, "lattice_angstrom": [[6.0844, 0.0000, 0.0000], [-3.0422, 5.2692, 0.0000], [0.0000, 0.0000, 7.8076]], "species": ["Ba", "Ba", "Ba", "Ge", "Ge", "Pb", "O", "O", "O", "O", "O", "O", "O", "O"], "frac_coords": [[0.0000, 0.0000, 0.0000], [0.3333, 0.6667, 0.6701], [0.6667, 0.3333, 0.3299], [0.3333, 0.6667, 0.2037], [0.6667, 0.3333, 0.7963], [0.0000, 0.0000, 0.5000], [0.1762, 0.3524, 0.2914], [0.1762, 0.8238, 0.2914], [0.3333, 0.6667, 0.9806], [0.3524, 0.1762, 0.7086], [0.6476, 0.8238, 0.2914], [0.6667, 0.3333, 0.0194], [0.8238, 0.1762, 0.7086], [0.8238, 0.6476, 0.7086]]}

---

(5)
{"formula": "BaGePdO4", "functional": "PBE", "state": "relaxed", "space_group": "Cmcm, No. 63", "magmom_total_mub_per_fu": 1.81, "formation_energy_uncorrected_ev_per_atom": -1.4324, "dos_ef_per_ev_cell": 4.05, "lattice_angstrom": [[3.3738, -4.9151, 0.0000], [3.3738, 4.9151, 0.0000], [0.0000, 0.0000, 7.1362]], "species": ["Ba", "Ba", "Ge", "Ge", "Pd", "Pd", "O", "O", "O", "O", "O", "O", "O", "O"], "frac_coords": [[0.0000, 0.0000, 0.0000], [0.0000, 0.0000, 0.5000], [0.3743, 0.6257, 0.7500], [0.6257, 0.3743, 0.2500], [0.3275, 0.6725, 0.2500], [0.6725, 0.3275, 0.7500], [0.2735, 0.7265, 0.5429], [0.2735, 0.7265, 0.9571], [0.2891, 0.3035, 0.7500], [0.3035, 0.2891, 0.2500], [0.6965, 0.7109, 0.7500], [0.7109, 0.6965, 0.2500], [0.7265, 0.2735, 0.0429], [0.7265, 0.2735, 0.4571]]}

---

(6)
{"formula": "BaGePdO6", "functional": "PBE", "state": "relaxed", "space_group": "P312, No. 149", "magmom_total_mub_per_fu": 2.04, "formation_energy_uncorrected_ev_per_atom": -1.2233, "dos_ef_per_ev_cell": 3.12, "lattice_angstrom": [[5.1829, 0.0000, 0.0000], [-2.5914, 4.4885, 0.0000], [0.0000, 0.0000, 5.9022]], "species": ["Ba", "Ge", "Pd", "O", "O", "O", "O", "O", "O"], "frac_coords": [[0.0000, 0.0000, 0.0000], [0.6667, 0.3333, 0.5000], [0.3333, 0.6667, 0.5000], [0.3828, 0.0101, 0.6841], [0.3828, 0.3726, 0.3159], [0.6274, 0.0101, 0.3159], [0.6274, 0.6172, 0.6841], [0.9899, 0.3726, 0.6841], [0.9899, 0.6172, 0.3159]]}